An optimized crystal structure of Rb2Tm2NpTe6. Source: Alexandria via LeMat-Bulk, functional PBE-GGA.

Lattice parameters (Å, degrees): 7.6323 13.2342 9.1621 90.00 106.26 90.00
Space group C2/m (No. 12)
Inequivalent atoms, fractional coordinates:
Rb  0.0000  0.1667  0.0000 x4
Tm  0.0000  0.3325  0.5000 x4
Np  0.0000  0.0000  0.5000 x2
Te  0.2303  0.5000  0.6948 x4
Te  0.2335  0.1659  0.6960 x8

Raw total energy   -0.3699 Ry/atom
Crystal system   monoclinic
M_tot   5.99 Bohr magnetons per cell


An optimized crystal structure of Rb3TmNp2Te6. Source: Alexandria via LeMat-Bulk, functional PBE-GGA.

Lattice parameters (Å, degrees): 7.9052 13.6938 8.9368 90.00 107.16 90.00
Space group C2/m (No. 12)
Inequivalent atoms, fractional coordinates:
Rb  0.0000  0.0000  0.0000 x2
Rb  0.0000  0.3321  0.0000 x4
Tm  0.0000  0.5000  0.5000 x2
Np  0.0000  0.1666  0.5000 x4
Te  0.2300  0.3364  0.6993 x8
Te  0.2394  0.0000  0.6995 x4

Raw total energy   -0.3949 Ry/atom
Crystal system   monoclinic
M_tot   16.00 Bohr magnetons per cell


An optimized crystal structure of Rb2Np2UTe6. Source: Alexandria via LeMat-Bulk, functional PBE-GGA.

Lattice parameters (Å, degrees): 7.7622 13.4281 9.1459 90.00 106.59 90.00
Space group C2/m (No. 12)
Inequivalent atoms, fractional coordinates:
Rb  0.0000  0.1672  0.0000 x4
Np  0.0000  0.3328  0.5000 x4
U  0.0000  0.0000  0.5000 x2
Te  0.2326  0.1641  0.6981 x8
Te  0.2352  0.5000  0.6969 x4

Raw total energy   -0.4481 Ry/atom
Crystal system   monoclinic
M_tot   20.00 Bohr magnetons per cell


An optimized crystal structure of Rb4NpU3Te8. Source: Alexandria via LeMat-Bulk, functional PBE-GGA.

Lattice parameters (Å, degrees): 15.8645 9.1630 10.0783 90.00 121.66 90.00
Space group C2/m (No. 12)
Inequivalent atoms, fractional coordinates:
Rb  0.0000  0.0000  0.0000 x2
Rb  0.0000  0.5000  0.0000 x2
Rb  0.2500  0.2500  0.0000 x4
Np  0.0000  0.0000  0.5000 x2
U  0.0000  0.5000  0.5000 x2
U  0.2500  0.2500  0.5000 x4
Te  0.0164  0.2512  0.2973 x8
Te  0.2346  0.0000  0.7009 x4
Te  0.2346  0.5000  0.7028 x4

Raw total energy   -0.4093 Ry/atom
Crystal system   monoclinic
M_tot   14.90 Bohr magnetons per cell


An optimized crystal structure of Rb2NpUTe4. Source: Alexandria via LeMat-Bulk, functional PBE-GGA.

Lattice parameters (Å, degrees): 7.8958 4.5599 8.9786 90.00 106.97 90.00
Space group P2/m (No. 10)
Inequivalent atoms, fractional coordinates:
Rb  0.0000  0.0000  0.0000 x1
Rb  0.5000  0.5000  0.0000 x1
Np  0.0000  0.5000  0.5000 x1
U  0.5000  0.0000  0.5000 x1
Te  0.2356  0.0000  0.7016 x2
Te  0.2680  0.5000  0.2984 x2

Raw total energy   -0.4191 Ry/atom
Crystal system   monoclinic
M_tot   7.00 Bohr magnetons per cell


An optimized crystal structure of Rb3Np2UTe6. Source: Alexandria via LeMat-Bulk, functional PBE-GGA.

Lattice parameters (Å, degrees): 7.9146 13.7090 8.9682 90.00 107.11 90.00
Space group C2/m (No. 12)
Inequivalent atoms, fractional coordinates:
Rb  0.0000  0.0000  0.0000 x2
Rb  0.0000  0.3328  0.0000 x4
Np  0.0000  0.1667  0.5000 x4
U  0.0000  0.5000  0.5000 x2
Te  0.2326  0.3345  0.7013 x8
Te  0.2360  0.0000  0.7013 x4

Raw total energy   -0.4247 Ry/atom
Crystal system   monoclinic
M_tot   22.00 Bohr magnetons per cell


An optimized crystal structure of Rb3NpU3Te8. Source: Alexandria via LeMat-Bulk, functional PBE-GGA.

Lattice parameters (Å, degrees): 9.0038 9.0038 26.1634 90.00 90.00 120.00
Space group R-3m (No. 166, hexagonal axes)
Inequivalent atoms, fractional coordinates:
Rb  0.0000  0.5000  0.0000 x9
Np  0.0000  0.0000  0.5000 x3
U  0.0000  0.5000  0.5000 x9
Te  0.0000  0.0000  0.2337 x6
Te  0.0057  0.5028  0.7666 x18

Raw total energy   -0.4260 Ry/atom
Crystal system   trigonal
M_tot   11.76 Bohr magnetons per cell


An optimized crystal structure of Rb4Np3UTe8. Source: Alexandria via LeMat-Bulk, functional PBE-GGA.

Lattice parameters (Å, degrees): 9.1546 9.1546 25.6799 90.00 90.00 120.00
Space group R-3m (No. 166, hexagonal axes)
Inequivalent atoms, fractional coordinates:
Rb  0.0000  0.0000  0.0000 x3
Rb  0.0000  0.5000  0.0000 x9
Np  0.0000  0.5000  0.5000 x9
U  0.0000  0.0000  0.5000 x3
Te  0.0000  0.0000  0.2336 x6
Te  0.0021  0.5010  0.2336 x18

Raw total energy   -0.4276 Ry/atom
Crystal system   trigonal
M_tot   45.00 Bohr magnetons per cell


An optimized crystal structure of Rb4Np3VTe8. Source: Alexandria via LeMat-Bulk, functional PBE-GGA.

Lattice parameters (Å, degrees): 8.9751 8.9751 25.6156 90.00 90.00 120.00
Space group R-3m (No. 166, hexagonal axes)
Inequivalent atoms, fractional coordinates:
Rb  0.0000  0.0000  0.0000 x3
Rb  0.0000  0.5000  0.0000 x9
Np  0.0000  0.5000  0.5000 x9
V  0.0000  0.0000  0.5000 x3
Te  0.0000  0.0000  0.2346 x6
Te  0.0176  0.5088  0.2307 x18

Raw total energy   -0.4118 Ry/atom
Crystal system   trigonal
M_tot   42.00 Bohr magnetons per cell


An optimized crystal structure of Rb3Np2VTe6. Source: Alexandria via LeMat-Bulk, functional PBE-GGA.

Lattice parameters (Å, degrees): 7.6960 13.3393 8.9170 90.00 106.80 90.00
Space group C2/m (No. 12)
Inequivalent atoms, fractional coordinates:
Rb  0.0000  0.0000  0.0000 x2
Rb  0.0000  0.3283  0.0000 x4
Np  0.0000  0.1661  0.5000 x4
V  0.0000  0.5000  0.5000 x2
Te  0.2207  0.3432  0.6922 x8
Te  0.2484  0.5000  0.3059 x4

Raw total energy   -0.4042 Ry/atom
Crystal system   monoclinic
M_tot   20.00 Bohr magnetons per cell


An optimized crystal structure of Rb3Y3NpTe8. Source: Alexandria via LeMat-Bulk, functional PBE-GGA.

Lattice parameters (Å, degrees): 8.9458 8.9458 26.1593 90.00 90.00 120.00
Space group R-3m (No. 166, hexagonal axes)
Inequivalent atoms, fractional coordinates:
Rb  0.0000  0.5000  0.0000 x9
Y  0.0000  0.5000  0.5000 x9
Np  0.0000  0.0000  0.5000 x3
Te  0.0000  0.0000  0.2331 x6
Te  0.0012  0.5006  0.2322 x18

Raw total energy   -0.3868 Ry/atom
Crystal system   trigonal
M_tot   8.98 Bohr magnetons per cell


An optimized crystal structure of Rb3Y2NpTe6. Source: Alexandria via LeMat-Bulk, functional PBE-GGA.

Lattice parameters (Å, degrees): 7.8956 13.6930 8.9482 90.00 107.17 90.00
Space group C2/m (No. 12)
Inequivalent atoms, fractional coordinates:
Rb  0.0000  0.0000  0.0000 x2
Rb  0.0000  0.3340  0.0000 x4
Y  0.0000  0.1671  0.5000 x4
Np  0.0000  0.5000  0.5000 x2
Te  0.2294  0.0000  0.7001 x4
Te  0.2354  0.3310  0.7002 x8

Raw total energy   -0.3814 Ry/atom
Crystal system   monoclinic
M_tot   8.00 Bohr magnetons per cell


An optimized crystal structure of Rb3YNp2Te6. Source: Alexandria via LeMat-Bulk, functional PBE-GGA.

Lattice parameters (Å, degrees): 7.9287 13.7338 8.9408 90.00 107.20 90.00
Space group C2/m (No. 12)
Inequivalent atoms, fractional coordinates:
Rb  0.0000  0.0000  0.0000 x2
Rb  0.0000  0.3329  0.0000 x4
Y  0.0000  0.5000  0.5000 x2
Np  0.0000  0.1667  0.5000 x4
Te  0.2320  0.3348  0.7003 x8
Te  0.2363  0.0000  0.7003 x4

Raw total energy   -0.4084 Ry/atom
Crystal system   monoclinic
M_tot   16.00 Bohr magnetons per cell


An optimized crystal structure of Rb2YNpTe4. Source: Alexandria via LeMat-Bulk, functional PBE-GGA.

Lattice parameters (Å, degrees): 7.9391 4.5668 8.9232 90.00 107.20 90.00
Space group P2/m (No. 10)
Inequivalent atoms, fractional coordinates:
Rb  0.0000  0.0000  0.0000 x1
Rb  0.5000  0.5000  0.0000 x1
Y  0.0000  0.5000  0.5000 x1
Np  0.5000  0.0000  0.5000 x1
Te  0.2291  0.0000  0.6999 x2
Te  0.2635  0.5000  0.3002 x2

Raw total energy   -0.3948 Ry/atom
Crystal system   monoclinic
M_tot   4.00 Bohr magnetons per cell


An optimized crystal structure of Rb3YNp3Te8. Source: Alexandria via LeMat-Bulk, functional PBE-GGA.

Lattice parameters (Å, degrees): 15.6614 9.0490 10.1155 90.00 120.91 90.00
Space group C2/m (No. 12)
Inequivalent atoms, fractional coordinates:
Rb  0.0000  0.0000  0.0000 x2
Rb  0.2500  0.2500  0.0000 x4
Y  0.0000  0.0000  0.5000 x2
Np  0.0000  0.5000  0.5000 x2
Np  0.2500  0.2500  0.5000 x4
Te  0.0172  0.2501  0.3024 x8
Te  0.2325  0.0000  0.6965 x4
Te  0.2336  0.5000  0.7003 x4

Raw total energy   -0.4298 Ry/atom
Crystal system   monoclinic
M_tot   7.47 Bohr magnetons per cell


An optimized crystal structure of Rb3Np3ZnTe8. Source: Alexandria via LeMat-Bulk, functional PBE-GGA.

Lattice parameters (Å, degrees): 15.6419 8.8445 10.1534 90.00 121.57 90.00
Space group C2/m (No. 12)
Inequivalent atoms, fractional coordinates:
Rb  0.0000  0.0000  0.0000 x2
Rb  0.2500  0.2500  0.0000 x4
Np  0.0000  0.5000  0.5000 x2
Np  0.2500  0.2500  0.5000 x4
Zn  0.0000  0.0000  0.5000 x2
Te  0.0184  0.2333  0.3183 x8
Te  0.2333  0.5000  0.7004 x4
Te  0.2503  0.0000  0.7054 x4

Raw total energy   -0.3862 Ry/atom
Crystal system   monoclinic
M_tot   20.00 Bohr magnetons per cell


An optimized crystal structure of RbNpZnTe3. Source: Alexandria via LeMat-Bulk, functional PBE-GGA.

Lattice parameters (Å, degrees): 9.9944 4.4746 10.7390 90.00 109.49 90.00
Space group P2_1/m (No. 11)
Inequivalent atoms, fractional coordinates:
Rb  0.2141  0.2500  0.2433 x2
Np  0.3253  0.7500  0.8567 x2
Zn  0.0864  0.2500  0.6108 x2
Te  0.1067  0.2500  0.8628 x2
Te  0.2003  0.7500  0.5363 x2
Te  0.4667  0.7500  0.1625 x2

Raw total energy   -0.3546 Ry/atom
Crystal system   monoclinic
M_tot   8.01 Bohr magnetons per cell


An optimized crystal structure of Rb3Np2ZnTe6. Source: Alexandria via LeMat-Bulk, functional PBE-GGA.

Lattice parameters (Å, degrees): 7.8457 13.5926 8.8372 90.00 107.27 90.00
Space group C2/m (No. 12)
Inequivalent atoms, fractional coordinates:
Rb  0.0000  0.0000  0.0000 x2
Rb  0.0000  0.3317  0.0000 x4
Np  0.0000  0.1665  0.5000 x4
Zn  0.0000  0.5000  0.5000 x2
Te  0.2258  0.3378  0.6909 x8
Te  0.2396  0.0000  0.6918 x4

Raw total energy   -0.3542 Ry/atom
Crystal system   monoclinic
M_tot   14.00 Bohr magnetons per cell


An optimized crystal structure of Rb4Np3ZnTe8. Source: Alexandria via LeMat-Bulk, functional PBE-GGA.

Lattice parameters (Å, degrees): 15.7878 9.1282 9.9431 90.00 121.82 90.00
Space group C2/m (No. 12)
Inequivalent atoms, fractional coordinates:
Rb  0.0000  0.0000  0.0000 x2
Rb  0.0000  0.5000  0.0000 x2
Rb  0.2500  0.2500  0.0000 x4
Np  0.0000  0.0000  0.5000 x2
Np  0.2500  0.2500  0.5000 x4
Zn  0.0000  0.5000  0.5000 x2
Te  0.0177  0.2571  0.3098 x8
Te  0.2272  0.5000  0.6919 x4
Te  0.2337  0.0000  0.7004 x4

Raw total energy   -0.3746 Ry/atom
Crystal system   monoclinic
M_tot   21.98 Bohr magnetons per cell